Below is a geometry-optimized PuCoB structure, with properties calculated at the PBE-GGA level.

Cell and atoms, written as extended XYZ:
```
12
Lattice="-2.642 -0.200 1.939 -0.937 -3.881 -1.679 5.795 -4.609 7.420" Properties=species:S:1:pos:R:3 pbc="T T T"
Pu 1.367 -4.729 2.763
Co -0.125 -3.281 0.880
Co 1.182 -6.801 5.077
B -0.782 -2.833 2.811
Pu 2.780 -7.810 7.150
Co 1.034 -1.889 2.603
Co 2.341 -5.410 6.800
Pu 0.849 -3.961 4.917
Pu -0.564 -0.880 0.530
B 2.998 -5.857 4.869
B -1.453 -4.613 1.713
B 3.669 -4.077 5.967
```

space group	Pnma (62)
excess energy over the best structure of this formula in the dataset	0.128	eV per atom
size of the total moment	0.001	μB per formula unit
energy relative to the elements	-16	meV/atom

Below is a geometry-optimized Ac2Ga2H structure, with properties calculated at the PBE-GGA level.

Cell and atoms, written as extended XYZ:
```
10
Lattice="-0.225 4.320 -0.233 -3.507 -2.618 -4.872 -6.399 0.048 7.063" Properties=species:S:1:pos:R:3 pbc="T T T"
Ac -4.601 -0.277 -0.693
Ac -5.530 2.027 2.651
Ga -2.683 1.872 -2.966
Ga -2.853 -0.021 2.368
H -5.908 -0.223 1.573
H -4.223 1.973 0.385
Ga -7.448 -0.123 4.924
Ac -1.739 2.100 0.337
Ac -8.392 -0.350 1.621
Ga -7.278 1.771 -0.411
```

space group	C2/m (12)
size of the total moment	0.000	μB per formula unit
raw total energy	-39.49	eV per cell

Below is a geometry-optimized Ta2CdAg structure, with properties calculated at the PBE-GGA level.

Cell and atoms, written as extended XYZ:
```
4
Lattice="-1.692 0.235 10.227 -2.806 -2.396 9.691 0.048 -2.093 10.156" Properties=species:S:1:pos:R:3 pbc="T T T"
Ta -4.445 -4.248 30.041
Cd -3.347 -3.199 22.621
Ta -1.104 -1.055 7.463
Ag -2.228 -2.130 15.059
```

space group	R3m (160)
size of the total moment	0.000	μB per formula unit
energy relative to the elements	235	meV/atom

Below is a geometry-optimized LuMg2Hg structure, with properties calculated at the PBE-GGA level.

Cell and atoms, written as extended XYZ:
```
4
Lattice="-0.321 0.248 -3.226 0.764 -2.520 -1.908 -10.334 -4.505 -0.958" Properties=species:S:1:pos:R:3 pbc="T T T"
Hg -4.945 -3.388 -3.046
Lu 0.000 0.000 0.000
Mg -7.347 -3.437 -1.172
Mg -2.544 -3.340 -4.920
```

space group	R-3m (166)
excess energy over the best structure of this formula in the dataset	0.336	eV per atom
size of the total moment	0.005	μB per formula unit
energy relative to the elements	121	meV/atom

Below is a geometry-optimized Y2SiAs2 structure, with properties calculated at the PBE-GGA level.

Cell and atoms, written as extended XYZ:
```
10
Lattice="-1.598 -4.454 -5.765 -3.268 -4.837 4.643 -3.490 1.887 -0.491" Properties=species:S:1:pos:R:3 pbc="T T T"
As -3.482 -6.930 -1.882
Y -5.543 -6.059 -0.164
As -1.529 -3.622 -3.051
As -1.383 -2.361 0.759
Si 0.000 0.000 0.000
Y -4.164 -2.974 1.895
As -3.336 -5.670 1.928
Si -2.433 -4.646 -0.561
Y -4.192 -4.430 -3.508
Y -2.814 -1.345 -1.449
```

space group	P4/mbm (127)
size of the total moment	0.000	μB per formula unit
formation energy from raw total energies	-0.814	eV/atom

Below is a geometry-optimized NdDy12In6 structure, with properties calculated at the PBE-GGA level.

Cell and atoms, written as extended XYZ:
```
19
Lattice="-2.039 1.430 8.483 8.386 -2.777 0.356 0.691 8.158 -3.336" Properties=species:S:1:pos:R:3 pbc="T T T"
Dy 6.429 -0.731 4.148
Dy 0.609 7.541 1.355
Nd 0.000 0.000 0.000
Dy 2.486 0.860 7.222
In 1.477 6.419 3.995
In 2.036 5.401 -0.184
Dy 3.675 2.649 0.187
In 0.786 2.319 5.231
Dy 6.142 3.040 3.149
Dy 4.091 5.955 2.165
In 5.561 0.392 1.508
Dy 2.947 0.856 3.338
Dy 3.363 4.161 5.316
In 6.252 4.492 0.272
In 5.002 1.409 5.687
Dy 7.462 1.814 -0.322
Dy 4.552 5.950 -1.719
Dy 0.896 3.770 2.354
Dy -0.424 4.996 5.825
```

space group	R-3m (166)
size of the total moment	0.002	μB per formula unit
energy relative to the elements	-47	meV/atom

Below is a geometry-optimized Tm3Ge13Pt4 structure, with properties calculated at the PBE-GGA level.

Cell and atoms, written as extended XYZ:
```
40
Lattice="-3.925 8.159 0.624 -3.761 -1.147 -8.180 -7.306 -3.773 3.851" Properties=species:S:1:pos:R:3 pbc="T T T"
Ge -7.869 -0.673 3.659
Tm -4.667 0.512 -2.986
Ge -9.309 -1.531 -0.582
Ge -7.347 1.881 -4.389
Pt -13.015 1.500 -1.858
Ge -5.692 2.378 -0.595
Ge -5.539 -0.664 -5.763
Ge -2.539 -0.820 -4.934
Pt -5.542 -0.138 0.076
Ge -8.863 -2.762 -3.444
Tm -7.275 -3.750 3.830
Ge -3.840 3.361 -2.318
Ge -7.469 0.170 -1.626
Ge -11.040 2.254 -0.327
Ge -9.305 3.800 2.170
Ge -11.911 2.961 -3.624
Ge -5.906 7.365 -1.661
Ge -8.263 5.117 -5.294
Pt -9.363 3.415 -3.757
Ge -9.784 5.609 -2.462
Pt -7.413 -0.674 -4.025
Tm -6.630 4.587 -2.670
Tm -8.362 0.979 1.166
Tm -10.242 0.402 -2.920
Pt -9.194 -2.058 1.970
Ge -6.791 -2.217 0.963
Ge -3.819 3.157 1.254
Pt -11.147 2.031 2.244
Ge -5.319 5.311 0.483
Ge -7.389 -3.384 -1.224
Ge -8.680 2.543 -1.455
Ge -9.449 -0.746 -5.623
Ge -3.160 0.921 0.221
Ge -6.293 3.037 2.425
Ge -13.372 0.078 -3.984
Pt -11.097 -2.583 -2.138
Pt -7.527 3.957 0.338
Ge -4.162 -1.876 -1.190
Ge -5.003 3.036 -4.699
Tm -3.622 -1.866 1.903
```

space group	R3c (161)
size of the total moment	0.000	μB per formula unit
energy relative to the elements	-508	meV/atom

Below is a geometry-optimized Pm6ZnPb2 structure, with properties calculated at the PBE-GGA level.

Cell and atoms, written as extended XYZ:
```
9
Lattice="-3.646 -1.897 1.642 1.944 -7.257 -4.068 2.870 1.350 7.933" Properties=species:S:1:pos:R:3 pbc="T T T"
Pm 2.650 -6.924 -2.115
Pm 0.152 -3.372 2.407
Pb 2.561 -1.518 3.932
Zn -1.823 -0.949 0.821
Pb 2.252 -4.388 -0.068
Pm 0.479 -1.787 -1.002
Pm -0.677 -5.227 -1.578
Pm 3.628 -4.452 2.913
Pm 1.813 -7.409 1.430
```

space group	P-62m (189)
size of the total moment	4.020	μB per formula unit
energy relative to the elements	-337	meV/atom

Below is a geometry-optimized MgCd12Ag6 structure, with properties calculated at the PBE-GGA level.

Cell and atoms, written as extended XYZ:
```
19
Lattice="7.790 -0.551 -0.661 -1.726 7.616 -0.661 -1.726 -2.011 7.376" Properties=species:S:1:pos:R:3 pbc="T T T"
Ag 4.841 1.946 5.071
Cd 0.432 5.903 0.302
Cd 5.152 4.741 0.193
Ag 3.854 5.488 2.821
Cd 3.906 -0.849 5.753
Ag -0.503 3.108 0.983
Cd 4.652 2.697 2.272
Cd -1.431 4.993 4.700
Ag 3.148 0.972 0.150
Cd 1.028 4.864 3.060
Ag 1.190 4.082 5.904
Cd 5.769 0.061 1.355
Cd 3.310 0.190 2.995
Ag 0.483 -0.434 3.233
Cd 2.377 3.713 0.722
Cd -0.814 0.312 5.862
Mg 0.000 0.000 0.000
Cd -0.314 2.357 3.782
Cd 1.960 1.341 5.333
```

space group	R-3 (148)
excess energy over the best structure of this formula in the dataset	0.065	eV per atom
size of the total moment	0.000	μB per formula unit
energy relative to the elements	4	meV/atom

Below is a geometry-optimized ReNiPb2 structure, with properties calculated at the PBE-GGA level.

Cell and atoms, written as extended XYZ:
```
4
Lattice="1.934 3.442 2.683 -2.766 2.627 2.869 0.280 -0.539 4.734" Properties=species:S:1:pos:R:3 pbc="T T T"
Pb -0.414 4.148 7.715
Re -0.276 2.765 5.143
Pb -0.138 1.383 2.572
Ni 0.000 0.000 0.000
```

space group	Fm-3m (225)
excess energy over the best structure of this formula in the dataset	0.456	eV per atom
size of the total moment	0.000	μB per formula unit
energy relative to the elements	901	meV/atom

Below is a geometry-optimized Be2CdAg structure, with properties calculated at the PBE-GGA level.

Cell and atoms, written as extended XYZ:
```
4
Lattice="8.493 0.022 0.013 8.014 2.811 0.013 8.014 1.376 2.451" Properties=species:S:1:pos:R:3 pbc="T T T"
Be 12.117 2.080 1.224
Cd 6.130 1.052 0.619
Ag 18.391 3.157 1.858
Be 0.144 0.025 0.015
```

space group	R-3m (166)
size of the total moment	0.000	μB per formula unit
energy relative to the elements	451	meV/atom

Below is a geometry-optimized FeTeP2 structure, with properties calculated at the PBE-GGA level.

Cell and atoms, written as extended XYZ:
```
4
Lattice="-2.102 2.248 0.673 -2.222 -1.615 -1.543 -1.731 -3.441 6.095" Properties=species:S:1:pos:R:3 pbc="T T T"
Fe -3.555 -2.454 4.473
P -1.719 -3.419 6.056
Te -0.989 -1.967 3.485
P -2.386 -0.129 0.355
```

space group	P4mm (99)
size of the total moment	1.905	μB per formula unit
formation energy from raw total energies	0.238	eV/atom

Below is a geometry-optimized Ba3Al9Au2 structure, with properties calculated at the PBE-GGA level.

Cell and atoms, written as extended XYZ:
```
14
Lattice="-1.175 2.400 -3.566 -8.489 2.636 1.787 1.810 8.559 2.379" Properties=species:S:1:pos:R:3 pbc="T T T"
Al 0.325 7.035 -0.941
Au -6.193 5.494 0.170
Al -0.663 5.821 1.351
Al -3.049 10.156 -0.513
Ba 0.000 0.000 0.000
Al -4.804 3.439 1.113
Al -8.178 6.560 1.542
Ba -2.816 5.022 -1.260
Ba -5.037 8.572 1.861
Al -6.146 3.313 -1.313
Al -3.339 5.598 2.083
Au -1.660 8.101 0.431
Al -1.707 10.282 1.914
Al -7.190 7.774 -0.751
```

space group	Immm (71)
size of the total moment	0.000	μB per formula unit
energy relative to the elements	-294	meV/atom

Below is a geometry-optimized SrSb2Au structure, with properties calculated at the PBE-GGA level.

Cell and atoms, written as extended XYZ:
```
4
Lattice="-0.529 5.315 -2.041 -4.742 3.186 0.238 0.761 2.696 3.927" Properties=species:S:1:pos:R:3 pbc="T T T"
Sr -3.383 8.398 1.593
Au -1.128 2.799 0.531
Sb -2.246 5.214 0.720
Sb -0.009 0.384 0.341
```

space group	C2/m (12)
size of the total moment	0.000	μB per formula unit
formation energy from raw total energies	-0.468	eV/atom

Below is a geometry-optimized AlRuS structure, with properties calculated at the PBE-GGA level.

Cell and atoms, written as extended XYZ:
```
6
Lattice="2.969 0.000 -0.001 0.000 4.535 0.002 -1.433 -1.438 8.512" Properties=species:S:1:pos:R:3 pbc="T T T"
Ru 0.768 2.888 5.397
Al -0.716 0.451 5.265
S 2.252 1.070 1.567
S -0.716 2.026 6.946
Al 2.252 2.645 3.249
Ru 0.768 0.209 3.117
```

space group	P-1 (2)
excess energy over the best structure of this formula in the dataset	0.000	eV per atom
size of the total moment	0.000	μB per formula unit
formation energy from raw total energies	-0.505	eV/atom

Below is a geometry-optimized Ca3Pm3Pt4 structure, with properties calculated at the PBE-GGA level.

Cell and atoms, written as extended XYZ:
```
10
Lattice="-1.751 -1.677 3.243 5.180 -5.967 -0.289 4.817 4.117 4.731" Properties=species:S:1:pos:R:3 pbc="T T T"
Pt 8.613 -1.535 3.858
Pt 5.049 -2.337 1.519
Pm 4.248 -5.223 2.120
Ca 3.999 1.662 5.548
Pm 2.528 -1.470 3.133
Ca 7.365 1.154 4.575
Pt 1.380 -0.196 0.644
Pt 4.952 0.376 2.869
Ca 2.449 2.064 2.391
Pm 5.718 -2.061 4.550
```

space group	Amm2 (38)
size of the total moment	0.000	μB per formula unit
energy relative to the elements	-934	meV/atom

Below is a geometry-optimized Na2Hg6Pd structure, with properties calculated at the PBE-GGA level.

Cell and atoms, written as extended XYZ:
```
9
Lattice="4.631 0.000 -0.177 0.000 8.267 0.000 -2.049 -4.133 6.587" Properties=species:S:1:pos:R:3 pbc="T T T"
Hg 0.092 6.410 2.183
Na 2.391 4.133 1.721
Hg 2.315 1.611 -0.088
Hg 2.490 2.277 4.227
Hg 0.092 1.856 2.183
Hg 2.490 -2.277 4.227
Na 0.190 0.000 4.689
Pd 0.000 0.000 0.000
Hg 2.315 6.655 -0.088
```

space group	C2/m (12)
size of the total moment	0.000	μB per formula unit
energy relative to the elements	-104	meV/atom

Below is a geometry-optimized SrCl structure, with properties calculated at the PBE-GGA level.

Cell and atoms, written as extended XYZ:
```
6
Lattice="-0.392 -3.475 2.810 3.529 -2.652 0.797 4.945 6.313 12.216" Properties=species:S:1:pos:R:3 pbc="T T T"
Cl 0.241 -0.381 0.315
Sr 5.709 -1.570 10.482
Sr 2.674 0.449 5.393
Cl 3.352 -2.395 5.551
Cl 5.062 1.341 10.410
Sr 5.862 3.083 12.682
```

space group	Cm (8)
size of the total moment	0.276	μB per formula unit
formation energy from raw total energies	-1.669	eV/atom

Below is a geometry-optimized PuGePb2 structure, with properties calculated at the PBE-GGA level.

Cell and atoms, written as extended XYZ:
```
4
Lattice="-4.330 2.066 -0.572 -0.351 -1.899 -4.204 -2.022 -3.726 1.852" Properties=species:S:1:pos:R:3 pbc="T T T"
Pb -0.176 -0.949 -2.102
Ge -2.165 1.033 -0.286
Pu -3.352 -1.779 -1.462
Pb -1.011 -1.863 0.926
```

space group	P4/mmm (123)
size of the total moment	5.558	μB per formula unit
energy relative to the elements	-141	meV/atom

Below is a geometry-optimized LaCr2Co structure, with properties calculated at the PBE-GGA level.

Cell and atoms, written as extended XYZ:
```
4
Lattice="-4.409 1.261 0.370 -0.833 -1.675 -4.202 1.901 -2.687 3.213" Properties=species:S:1:pos:R:3 pbc="T T T"
Co -2.564 -0.817 0.833
Cr 0.000 0.000 0.000
La -2.621 -0.207 -1.916
Cr -0.776 -2.285 -1.453
```

space group	F-43m (216)
excess energy over the best structure of this formula in the dataset	0.180	eV per atom
size of the total moment	1.203	μB per formula unit
energy relative to the elements	486	meV/atom

Below is a geometry-optimized Dy2CdPd6 structure, with properties calculated at the PBE-GGA level.

Cell and atoms, written as extended XYZ:
```
9
Lattice="3.835 0.000 -0.150 0.000 8.275 0.000 -1.680 -4.137 6.034" Properties=species:S:1:pos:R:3 pbc="T T T"
Pd 1.917 2.052 -0.075
Pd 0.080 2.021 1.963
Pd 1.917 6.223 -0.075
Pd 2.075 -2.116 3.922
Pd 0.080 6.253 1.963
Cd 0.000 0.000 0.000
Dy 2.001 4.137 1.861
Pd 2.075 2.116 3.922
Dy 0.154 0.000 4.023
```

space group	C2/m (12)
size of the total moment	0.000	μB per formula unit
energy relative to the elements	-465	meV/atom

Below is a geometry-optimized KLiCu2 structure, with properties calculated at the PBE-GGA level.

Cell and atoms, written as extended XYZ:
```
4
Lattice="-0.698 -0.198 -4.270 -2.236 -1.655 0.442 -5.172 4.798 0.622" Properties=species:S:1:pos:R:3 pbc="T T T"
Cu -4.322 1.991 0.614
K -2.201 0.687 -1.869
Cu -6.791 2.723 0.983
Li -5.905 2.258 -1.337
```

space group	P2/m (10)
excess energy over the best structure of this formula in the dataset	0.143	eV per atom
size of the total moment	0.000	μB per formula unit
energy relative to the elements	293	meV/atom

Below is a geometry-optimized Pr3ScIn2 structure, with properties calculated at the PBE-GGA level.

Cell and atoms, written as extended XYZ:
```
6
Lattice="-3.933 1.911 -1.319 -0.411 -3.385 -3.680 -3.687 -3.023 6.614" Properties=species:S:1:pos:R:3 pbc="T T T"
Pr -4.726 -3.831 0.632
Sc 0.000 0.000 0.000
In -5.328 -1.222 -1.701
Pr -2.172 -0.737 -2.499
In -2.704 -3.275 3.316
Pr -3.305 -0.666 0.983
```

space group	Cmmm (65)
excess energy over the best structure of this formula in the dataset	0.000	eV per atom
size of the total moment	0.000	μB per formula unit
energy relative to the elements	-316	meV/atom